Material: LaZrAs3
Method: DFT, SCAN
State: single point on PBEsol structure

Values from the calculation:
The energy relative to the elements comes out at 0.718 eV per atom. As for the density of states at the Fermi level: 5.85 states/eV/f.u. The total DFT energy (no corrections) comes out at -26.157 eV per atom.

abc: 5.310 5.310 5.310
angles: 90.00 90.00 90.00
Space group Pm-3m (No. 221)
Asymmetric unit:
1 La 0.000 0.000 0.000 (multiplicity 1)
2 Zr 0.500 0.500 0.500 (multiplicity 1)
3 As 0.000 0.000 0.500 (multiplicity 3)

***

Material: La2Zr2As
Method: DFT, SCAN
State: single point on PBEsol structure

Values from the calculation:
The energy relative to the elements comes out at -0.177 eV per atom. As for the density of states at the Fermi level: 5.28 states/eV/f.u. The total DFT energy (no corrections) comes out at -33.737 eV per atom.

abc: 3.842 3.842 19.073
angles: 90.00 90.00 90.00
Space group I4/mmm (No. 139)
Asymmetric unit:
1 La 0.000 0.000 0.085 (multiplicity 4)
2 Zr 0.000 0.500 0.250 (multiplicity 4)
3 As 0.000 0.000 0.500 (multiplicity 2)

***

Which of these has the lowest energy relative to the elements? La2Zr2As

***

What did the first record say?
Material: LaZrAs3
Method: DFT, SCAN
State: single point on PBEsol structure

Values from the calculation:
The energy relative to the elements comes out at 0.718 eV per atom. As for the density of states at the Fermi level: 5.85 states/eV/f.u. The total DFT energy (no corrections) comes out at -26.157 eV per atom.

abc: 5.310 5.310 5.310
angles: 90.00 90.00 90.00
Space group Pm-3m (No. 221)
Asymmetric unit:
1 La 0.000 0.000 0.000 (multiplicity 1)
2 Zr 0.500 0.500 0.500 (multiplicity 1)
3 As 0.000 0.000 0.500 (multiplicity 3)

***

Which formula does entry 1 have? LaZrAs3